(1)
BaInGe4 | GGA-PBE | relaxed

The structure in POSCAR format:
```
BaInGe4
1.0
4.1756 0.0000 0.0000
2.0878 6.4083 0.0652
2.0878 1.9366 6.1091
In Ge Ba
1 4 1
Cartesian
4.1756 4.1724 3.0871
6.2634 6.6480 3.3552
2.0878 3.1921 0.7982
6.2634 5.1528 5.3761
2.0878 1.6969 2.8191
0.0000 0.0000 0.0000
```

(2)
Ba3InGe | GGA-PBE | relaxed

The structure in POSCAR format:
```
Ba3InGe
1.0
6.3876 0.0000 0.0000
0.0000 6.3876 0.0000
0.0000 0.0000 6.3876
Ge Ba In
1 3 1
Cartesian
0.0000 0.0000 0.0000
0.0000 3.1938 0.0000
3.1938 0.0000 0.0000
0.0000 0.0000 3.1938
3.1938 3.1938 3.1938
```

(3)
BaIn3Ge | GGA-PBE | relaxed

The structure in POSCAR format:
```
BaIn3Ge
1.0
4.6033 0.0000 0.0000
0.0000 10.3281 0.0000
0.0000 0.0000 12.7085
In Ge Ba
12 4 4
Cartesian
3.4525 1.6126 10.0867
3.4525 6.7766 8.9760
3.4525 4.5702 11.5342
3.4525 6.0995 3.5664
1.1508 4.2287 9.1421
1.1508 9.3927 9.9206
3.4525 0.9354 2.7878
1.1508 0.5939 5.1800
1.1508 8.7156 2.6218
3.4525 9.7343 7.5285
1.1508 3.5515 3.7324
1.1508 5.7579 1.1742
1.1508 1.4126 8.2262
3.4525 8.9155 4.4823
1.1508 6.5767 10.8365
3.4525 3.7514 1.8720
1.1508 1.9568 0.1006
3.4525 8.3713 12.6079
1.1508 7.1209 6.2537
3.4525 3.2072 6.4548
```

(4)
Ba3InGe | GGA-PBE | relaxed

The structure in POSCAR format:
```
Ba3InGe
1.0
5.1745 -0.0003 -0.0006
-2.5876 7.8927 0.3390
-0.0027 0.1369 10.0089
Ba In Ge
6 2 2
Cartesian
2.5000 2.1355 8.4052
-0.0876 1.4698 3.8215
2.5002 4.8424 4.0918
-0.0850 4.3241 0.5191
-0.0872 7.1670 6.2144
2.5016 7.6965 0.7880
-0.0875 3.8126 6.7010
2.5006 5.4892 7.9188
2.4979 2.0094 1.7449
-0.0856 7.1577 2.8625
```

| no. | calculated volume (Å³ per atom) | formation energy from the elements (eV/atom) |
| --- | --- | --- |
| 1 | 27.157 | -0.114 |
| 2 | 52.124 | -0.141 |
| 3 | 30.210 | -0.232 |
| 4 | 40.852 | -0.371 |